Record 1
GGA-PBE ZrInFe2, optimized geometry; total moment = 3.15 μB per formula unit; DFT total energy = -27.833 eV per cell; E_form = 0.09 eV per atom
1.0
-1.949 1.949 4.343
1.949 -1.949 4.343
1.949 1.949 -4.343
Zr In Fe
1 1 2
direct
0.000 0.000 0.000
0.750 0.250 0.500
0.250 0.750 0.500
0.500 0.500 0.000

Record 2
GGA-PBE Zr2ScCu, optimized geometry; total moment = 0.00 μB per formula unit; DFT total energy = -27.081 eV per cell; E_form = 0.11 eV per atom
1.0
3.089 -4.183 0.000
3.089 4.183 0.000
0.000 0.000 3.156
Zr Sc Cu
2 1 1
direct
0.000 0.500 0.000
0.500 0.000 0.000
0.000 0.000 0.500
0.500 0.500 0.500

Record 3
GGA-PBE LiDySc2Tl4, optimized geometry; total moment = 0.00 μB per formula unit; DFT total energy = -30.842 eV per cell; E_form = -0.27 eV per atom
1.0
2.548 1.471 8.544
-2.548 1.471 8.544
0.000 -2.942 8.544
Li Dy Sc Tl
1 1 2 4
direct
0.000 0.000 0.000
0.500 0.500 0.500
0.253 0.253 0.253
0.747 0.747 0.747
0.121 0.121 0.121
0.371 0.371 0.371
0.629 0.629 0.629
0.879 0.879 0.879